# 1
DFT (GGA-PBEsol) results for a geometry-optimized LaAl2Ir structure.

Output
* space group: R3m (160)
* total moment: 0.0 Bohr magnetons per cell
* ΔE_f: -0.674 eV/atom

Unit cell a=4.3517 b=4.3517 c=5.7862 alpha=67.91 beta=67.91 gamma=60.00
Atoms (fractional coordinates):
Al  0.7784  0.7784  0.6647
Al  0.0474  0.0474  0.8577
La  0.2465  0.2465  0.2605
Ir  0.4313  0.4313  0.7062

# 2
DFT (GGA-PBEsol) results for a geometry-optimized La2Al9Ir3 structure.

Output
* space group: Cmcm (63)
* total moment: 0.0 Bohr magnetons per cell
* ΔE_f: -0.824 eV/atom

Unit cell a=7.5935 b=7.5935 c=9.5701 alpha=90.00 beta=90.00 gamma=119.26
Atoms (fractional coordinates):
Al  0.6599  0.4532  0.2500
Al  0.6642  0.9969  0.0732
Al  0.1323  0.1323  0.7500
Al  0.6659  0.6659  0.9565
Al  0.3401  0.5468  0.7500
Al  0.3342  0.3342  0.0435
Al  0.6659  0.6659  0.5435
Al  0.3358  0.0031  0.9268
Al  0.5468  0.3401  0.7500
Al  0.0031  0.3358  0.9268
Al  0.9969  0.6642  0.0732
Al  0.9969  0.6642  0.4268
Al  0.3342  0.3342  0.4565
Al  0.3358  0.0031  0.5732
Al  0.6642  0.9969  0.4268
Al  0.8677  0.8677  0.2500
Al  0.4532  0.6599  0.2500
Al  0.0031  0.3358  0.5732
Ir  0.3292  0.6708  0.5000
Ir  0.0000  0.0000  0.0000
Ir  0.0000  0.0000  0.5000
Ir  0.6708  0.3292  0.0000
Ir  0.6708  0.3292  0.5000
Ir  0.3292  0.6708  0.0000
La  0.6715  0.9953  0.7500
La  0.3285  0.0047  0.2500
La  0.0047  0.3285  0.2500
La  0.9953  0.6715  0.7500

Electronic total energy for every record listed, in sequence, given in eV/atom: -6.51 -6.32.
DOS(E_F) for every record listed, in sequence, given in states/eV/atom: 0.67 0.41.